# PmTm3

Crystalline PmTm3 at its relaxed geometry (PBE, the Alexandria database).

Results
Crystal system ... orthorhombic
Excess energy over the best structure of this formula in the dataset ... 0.003 eV/atom

Structure (CIF):
```
data_PmTm3
_chemical_formula_sum 'Pm2 Tm6'
_cell_length_a 3.610
_cell_length_b 11.216
_cell_length_c 6.220
_cell_angle_alpha 90.00
_cell_angle_beta 90.00
_cell_angle_gamma 90.00
_symmetry_space_group_name_H-M 'I m m 2'
_symmetry_Int_Tables_number 44
loop_
_symmetry_equiv_pos_as_xyz
'x,y,z'
'-x,-y,z'
'-x,y,z'
'x,-y,z'
'x+1/2,y+1/2,z+1/2'
'-x+1/2,-y+1/2,z+1/2'
'-x+1/2,y+1/2,z+1/2'
'x+1/2,-y+1/2,z+1/2'
loop_
_atom_site_label
_atom_site_type_symbol
_atom_site_fract_x
_atom_site_fract_y
_atom_site_fract_z
Pm1 Pm 0.000 0.000 0.000
Tm1 Tm 0.000 0.248 0.663
Tm2 Tm 0.000 0.500 0.996
```